(1)
Mg3Al18Mo2 | PBE | relaxed

Structure (POSCAR):
```
Mg3Al18Mo2
1.0
0.0000 7.3361 7.3361
7.3361 0.0000 7.3361
7.3361 7.3361 0.0000
Mg Al Mo
6 36 4
Direct
0.0000 0.0000 0.0000
0.0000 0.0000 0.5000
0.0000 0.5000 0.0000
0.1250 0.1250 0.1250
0.5000 0.0000 0.0000
0.8750 0.8750 0.8750
0.0586 0.3230 0.3230
0.0586 0.3230 0.7954
0.0586 0.7954 0.3230
0.2046 0.6770 0.6770
0.2046 0.6770 0.9414
0.2046 0.9414 0.6770
0.2329 0.2329 0.5171
0.2329 0.5171 0.2329
0.2329 0.5171 0.5171
0.3230 0.0586 0.3230
0.3230 0.0586 0.7954
0.3230 0.3230 0.0586
0.3230 0.3230 0.7954
0.3230 0.7954 0.0586
0.3230 0.7954 0.3230
0.4829 0.4829 0.7671
0.4829 0.7671 0.4829
0.4829 0.7671 0.7671
0.5171 0.2329 0.2329
0.5171 0.2329 0.5171
0.5171 0.5171 0.2329
0.6770 0.2046 0.6770
0.6770 0.2046 0.9414
0.6770 0.6770 0.2046
0.6770 0.6770 0.9414
0.6770 0.9414 0.2046
0.6770 0.9414 0.6770
0.7671 0.4829 0.4829
0.7671 0.4829 0.7671
0.7671 0.7671 0.4829
0.7954 0.0586 0.3230
0.7954 0.3230 0.0586
0.7954 0.3230 0.3230
0.9414 0.2046 0.6770
0.9414 0.6770 0.2046
0.9414 0.6770 0.6770
0.0000 0.5000 0.5000
0.5000 0.0000 0.5000
0.5000 0.5000 0.0000
0.5000 0.5000 0.5000
```

The total energy is -4.2280 eV per atom.



(2)
GaCuReMo | PBE | relaxed

Structure (POSCAR):
```
GaCuReMo
1.0
0.0000 3.0687 3.0687
3.0687 0.0000 3.0687
3.0687 3.0687 0.0000
Ga Cu Re Mo
1 1 1 1
Direct
0.0000 0.0000 0.0000
0.2500 0.2500 0.2500
0.7500 0.7500 0.7500
0.5000 0.5000 0.5000
```

The total energy is -7.3435 eV per atom. The value obtained for the distance to the lowest polymorph of the same formula is 0.0 meV per atom.



(3)
TbTm3Pd4 | PBE | relaxed

Structure (POSCAR):
```
TbTm3Pd4
1.0
5.6168 0.0000 0.0000
0.0000 4.4903 0.0000
-0.0543 0.0000 6.7930
Tb Tm Pd
1 3 4
Direct
0.0000 0.0000 0.0000
0.2146 0.0000 0.4991
0.4987 0.5000 0.1361
0.7125 0.5000 0.6351
0.0134 0.5000 0.2846
0.2021 0.5000 0.7693
0.5130 0.0000 0.8572
0.6972 0.0000 0.3606
```

The total energy is -5.7935 eV per atom.



(4)
YMoPt2 | PBE | relaxed

Structure (POSCAR):
```
YMoPt2
1.0
0.0000 3.2823 3.2823
3.2823 0.0000 3.2823
3.2823 3.2823 0.0000
Y Mo Pt
1 1 2
Direct
0.0000 0.0000 0.0000
0.2500 0.2500 0.2500
0.5000 0.5000 0.5000
0.7500 0.7500 0.7500
```

The total energy is -7.5462 eV per atom.



(5)
Cu7Ag3 | PBE | relaxed

Structure (POSCAR):
```
Cu7Ag3
1.0
3.8328 0.0000 0.0000
0.0000 1.9166 9.3351
0.0000 -1.9166 9.3351
Cu Ag
7 3
Direct
0.0000 0.0000 0.0000
0.0000 0.1899 0.1899
0.0000 0.4025 0.4025
0.0000 0.6010 0.6010
0.5000 0.1011 0.1011
0.5000 0.6899 0.6899
0.5000 0.9025 0.9025
0.0000 0.7967 0.7967
0.5000 0.2969 0.2969
0.5000 0.5013 0.5013
```

The total energy is -3.3657 eV per atom. The value obtained for the distance to the lowest polymorph of the same formula is 38.8 meV per atom.



(6)
Hf2AlOs | PBE | relaxed

Structure (POSCAR):
```
Hf2AlOs
1.0
0.0000 3.2691 3.2691
3.2691 0.0000 3.2691
3.2691 3.2691 0.0000
Hf Al Os
2 1 1
Direct
0.0000 0.0000 0.0000
0.2500 0.2500 0.2500
0.5000 0.5000 0.5000
0.7500 0.7500 0.7500
```

The total energy is -8.9479 eV per atom.



(7)
MgBeGaCo | PBE | relaxed

Structure (POSCAR):
```
MgBeGaCo
1.0
0.0000 2.9301 2.9301
2.9301 0.0000 2.9301
2.9301 2.9301 0.0000
Mg Be Ga Co
1 1 1 1
Direct
0.0000 0.0000 0.0000
0.7500 0.7500 0.7500
0.2500 0.2500 0.2500
0.5000 0.5000 0.5000
```

The total energy is -3.8321 eV per atom. The value obtained for the distance to the lowest polymorph of the same formula is 0.0 meV per atom.



(8)
DyEr2Mg3Tl2Zn | PBE | relaxed

Structure (POSCAR):
```
DyEr2Mg3Tl2Zn
1.0
4.5250 0.0000 0.0000
0.0000 6.4917 3.7276
0.0000 -6.4917 3.7276
Dy Er Mg Tl Zn
1 2 3 2 1
Direct
0.0000 0.0000 0.0000
0.0000 0.4158 0.8315
0.0000 0.8315 0.4158
0.5000 0.1811 0.4163
0.5000 0.4163 0.1811
0.5000 0.6521 0.6521
0.5000 0.0833 0.7484
0.5000 0.7484 0.0833
0.0000 0.4181 0.4181
```

The total energy is -3.0144 eV per atom.